# 1
Here is a geometry-optimized CeLuIrPt structure from Alexandria. Energies are from PBE.

Summary:
Mass density: 13.918 g/cm³
Calculated total energy: -7.276 eV/atom
Fermi-level density of states: 23.23 states/eV/cell
Size of the total moment: 2.3 μB/cell

```
data_CeLuIrPt
_cell_length_a 6.947
_cell_length_b 6.947
_cell_length_c 6.947
_cell_angle_alpha 90.00
_cell_angle_beta 90.00
_cell_angle_gamma 90.00
_space_group_name_H-M_alt 'F -4 3 m'
_space_group_IT_number 216
_space_group_name_Hall 'F -4 2 3'
loop_
_atom_site_label
_atom_site_fract_x
_atom_site_fract_y
_atom_site_fract_z
Ce1 0.000 0.000 0.000
Lu1 0.000 0.000 0.500
Ir1 0.250 0.250 0.250
Pt1 0.250 0.250 0.750
```



# 2
Here is a geometry-optimized SmYTe3 structure from Alexandria. Energies are from PBE.

Summary:
Mass density: 6.258 g/cm³
Relative energy among the computed polymorphs: 0.024 eV per atom
Calculated total energy: -5.527 eV/atom
Fermi-level density of states: 0.62 states/eV/cell
Size of the total moment: 0.0 μB/cell
Raw formation energy: -1405 meV per atom

```
data_SmYTe3
_cell_length_a 4.285
_cell_length_b 14.259
_cell_length_c 10.808
_cell_angle_alpha 90.00
_cell_angle_beta 90.00
_cell_angle_gamma 90.00
_space_group_name_H-M_alt 'C m c m'
_space_group_IT_number 63
_space_group_name_Hall '-C 2c 2'
loop_
_atom_site_label
_atom_site_fract_x
_atom_site_fract_y
_atom_site_fract_z
Sm1 0.000 0.248 0.250
Y1 0.000 0.000 0.000
Te1 0.000 0.093 0.750
Te2 0.000 0.352 0.565
```



Copy entry 2 word for word.
Here is a geometry-optimized SmYTe3 structure from Alexandria. Energies are from PBE.

Summary:
Mass density: 6.258 g/cm³
Relative energy among the computed polymorphs: 0.024 eV per atom
Calculated total energy: -5.527 eV/atom
Fermi-level density of states: 0.62 states/eV/cell
Size of the total moment: 0.0 μB/cell
Raw formation energy: -1405 meV per atom

```
data_SmYTe3
_cell_length_a 4.285
_cell_length_b 14.259
_cell_length_c 10.808
_cell_angle_alpha 90.00
_cell_angle_beta 90.00
_cell_angle_gamma 90.00
_space_group_name_H-M_alt 'C m c m'
_space_group_IT_number 63
_space_group_name_Hall '-C 2c 2'
loop_
_atom_site_label
_atom_site_fract_x
_atom_site_fract_y
_atom_site_fract_z
Sm1 0.000 0.248 0.250
Y1 0.000 0.000 0.000
Te1 0.000 0.093 0.750
Te2 0.000 0.352 0.565
```